DFT (PBE-GGA) results for a relaxed structure of MgInAg2.

Cell and atoms, written as extended XYZ:
```
8
Lattice="4.7943 0.0000 0.0000 -2.3971 4.1520 0.0000 0.0000 0.0000 8.3835" Properties=species:S:1:pos:R:3 pbc="T T T"
Mg 0.0000 0.0000 2.0959
Mg 0.0000 0.0000 6.2876
In 0.0000 2.7680 2.0959
In 2.3971 1.3840 6.2876
Ag 0.0000 2.7680 4.8894
Ag 0.0000 2.7680 7.6858
Ag 2.3971 1.3840 0.6977
Ag 2.3971 1.3840 3.4940
```

Calculated values
symmetry	P6_3/mmc, No. 194
energy above the most stable polymorph in this dataset	3.62	kcal/mol of atoms

DFT (PBE-GGA) results for a relaxed structure of MgInAg2.

Cell and atoms, written as extended XYZ:
```
4
Lattice="-2.3727 2.3727 3.3785 2.3727 -2.3727 3.3785 2.3727 2.3727 -3.3785" Properties=species:S:1:pos:R:3 pbc="T T T"
Mg 0.0000 0.0000 0.0000
In 0.0000 0.0000 3.3785
Ag 2.3727 0.0000 1.6892
Ag 0.0000 2.3727 1.6892
```

Calculated values
symmetry	I4/mmm, No. 139
energy above the most stable polymorph in this dataset	0.00	kcal/mol of atoms

DFT (PBE-GGA) results for a relaxed structure of Mg6InAg.

Cell and atoms, written as extended XYZ:
```
8
Lattice="6.2767 0.0000 0.0000 -3.1383 5.4358 0.0000 0.0000 0.0000 4.9857" Properties=species:S:1:pos:R:3 pbc="T T T"
Mg -1.5627 2.7216 0.0000
Mg 0.0000 1.7630 2.4928
Mg -1.6116 4.5543 2.4928
Mg 1.5627 2.7216 0.0000
Mg 0.0000 5.4283 0.0000
Mg 1.6116 4.5543 2.4928
In 3.1383 1.8119 2.4928
Ag 0.0000 0.0000 0.0000
```

Calculated values
uncorrected energy	-1.950	eV per atom
symmetry	P-6m2, No. 187

DFT (PBE-GGA) results for a relaxed structure of MgInAg2.

Cell and atoms, written as extended XYZ:
```
8
Lattice="4.6702 0.0000 0.0000 -2.3351 4.0445 0.0000 0.0000 0.0000 8.4519" Properties=species:S:1:pos:R:3 pbc="T T T"
Mg 0.0000 0.0000 0.0000
Mg 0.0000 0.0000 4.2260
In 0.0000 2.6963 2.1130
In 2.3351 1.3482 6.3389
Ag 0.0000 2.6963 4.9563
Ag 0.0000 2.6963 7.7216
Ag 2.3351 1.3482 0.7303
Ag 2.3351 1.3482 3.4957
```

Calculated values
symmetry	P6_3/mmc, No. 194
energy above the most stable polymorph in this dataset	0.39	kcal/mol of atoms

DFT (PBE-GGA) results for a relaxed structure of MgInAg2.

Cell and atoms, written as extended XYZ:
```
4
Lattice="4.5292 0.0000 0.0000 0.0000 4.5292 0.0000 0.0000 0.0000 3.7741" Properties=species:S:1:pos:R:3 pbc="T T T"
Mg 0.0000 0.0000 0.0000
In 2.2646 2.2646 0.0000
Ag 0.0000 2.2646 1.8871
Ag 2.2646 0.0000 1.8871
```

Calculated values
symmetry	P4/mmm, No. 123
energy above the most stable polymorph in this dataset	0.47	kcal/mol of atoms

DFT (PBE-GGA) results for a relaxed structure of MgInAg2.

Cell and atoms, written as extended XYZ:
```
4
Lattice="0.0000 3.3761 3.3761 3.3761 0.0000 3.3761 3.3761 3.3761 0.0000" Properties=species:S:1:pos:R:3 pbc="T T T"
Mg 0.0000 0.0000 0.0000
In 5.0641 5.0641 5.0641
Ag 1.6880 1.6880 1.6880
Ag 3.3761 3.3761 3.3761
```

Calculated values
symmetry	F-43m, No. 216
energy above the most stable polymorph in this dataset	1.74	kcal/mol of atoms

DFT (PBE-GGA) results for a relaxed structure of Nd3Mg3In2Ag.

Cell and atoms, written as extended XYZ:
```
9
Lattice="7.7095 0.0000 0.0000 -3.8548 6.6767 0.0000 0.0000 0.0000 4.6644" Properties=species:S:1:pos:R:3 pbc="T T T"
Nd -2.2648 3.9228 0.0000
Nd 1.5900 2.7539 0.0000
Nd 4.5296 0.0000 0.0000
Mg -0.9158 1.5862 2.3322
Mg 1.8316 0.0000 2.3322
Mg 2.9390 5.0904 2.3322
In 0.0000 4.4511 2.3322
In 3.8548 2.2255 2.3322
Ag 0.0000 0.0000 0.0000
```

Calculated values
uncorrected energy	-3.411	eV per atom
symmetry	P-62m, No. 189

DFT (PBE-GGA) results for a relaxed structure of Nd3MgIn3AgPt.

Cell and atoms, written as extended XYZ:
```
9
Lattice="8.0554 0.0000 0.0000 -4.0277 6.9762 0.0000 0.0000 0.0000 4.0385" Properties=species:S:1:pos:R:3 pbc="T T T"
Nd -2.2173 5.0514 0.0000
Nd 0.7617 2.5302 0.0000
Nd 1.4556 6.3708 0.0000
Mg 0.0000 0.0000 2.0192
In 2.9198 0.5600 2.0192
In 3.0528 4.1676 2.0192
In 6.1105 2.2486 2.0192
Ag 4.0277 2.3254 0.0000
Pt 0.0000 4.6508 2.0192
```

Calculated values
uncorrected energy	-4.232	eV per atom
symmetry	P-6, No. 174

DFT (PBE-GGA) results for a relaxed structure of Pr3Mg3InAgPd.

Cell and atoms, written as extended XYZ:
```
9
Lattice="7.9929 0.0000 0.0000 -3.9965 6.9221 0.0000 0.0000 0.0000 4.1592" Properties=species:S:1:pos:R:3 pbc="T T T"
Pr -2.1973 4.1409 0.0000
Pr 1.5089 2.9487 0.0000
Pr 0.6883 6.7545 0.0000
Mg 1.9456 0.0200 2.0796
Mg 3.0410 5.2272 2.0796
Mg 7.0028 1.6749 2.0796
In 3.9965 2.3074 2.0796
Ag 0.0000 0.0000 0.0000
Pd 0.0000 4.6147 2.0796
```

Calculated values
uncorrected energy	-3.729	eV per atom
symmetry	P-6, No. 174

DFT (PBE-GGA) results for a relaxed structure of Tm3MgIn3AgPd.

Cell and atoms, written as extended XYZ:
```
9
Lattice="7.9611 0.0000 0.0000 -3.9806 6.8945 0.0000 0.0000 0.0000 3.7318" Properties=species:S:1:pos:R:3 pbc="T T T"
Tm -2.1964 4.2882 0.0000
Tm 1.3650 2.8483 0.0000
Tm 0.8314 6.6526 0.0000
Mg 3.9806 2.2982 1.8659
In 2.1609 0.1010 1.8659
In 2.9876 4.9726 1.8659
In 6.7932 1.8209 1.8659
Ag 0.0000 0.0000 0.0000
Pd 0.0000 4.5964 1.8659
```

Calculated values
uncorrected energy	-3.960	eV per atom
symmetry	P-6, No. 174

DFT (PBE-GGA) results for a relaxed structure of MgZrIn2Ag2Pd2.

Cell and atoms, written as extended XYZ:
```
8
Lattice="4.7338 0.0000 0.0000 0.0000 4.7338 0.0000 0.0000 0.0000 6.5729" Properties=species:S:1:pos:R:3 pbc="T T T"
Mg 0.0000 0.0000 0.0000
Zr 2.3669 2.3669 3.2864
In 0.0000 0.0000 3.2864
In 2.3669 2.3669 0.0000
Ag 0.0000 2.3669 5.0183
Ag 2.3669 0.0000 1.5545
Pd 0.0000 2.3669 1.7073
Pd 2.3669 0.0000 4.8656
```

Calculated values
uncorrected energy	-4.355	eV per atom
symmetry	P-4m2, No. 115

DFT (PBE-GGA) results for a relaxed structure of Pr3Mg3InAg2.

Cell and atoms, written as extended XYZ:
```
9
Lattice="7.5910 0.0000 0.0000 -3.7955 6.5740 0.0000 0.0000 0.0000 4.7079" Properties=species:S:1:pos:R:3 pbc="T T T"
Pr -1.6288 2.8212 0.0000
Pr 3.2577 0.0000 0.0000
Pr 2.1667 3.7528 0.0000
Mg -2.8671 4.9659 2.3540
Mg 0.9284 1.6081 2.3540
Mg 5.7341 0.0000 2.3540
In 0.0000 0.0000 0.0000
Ag 0.0000 4.3827 2.3540
Ag 3.7955 2.1913 2.3540
```

Calculated values
uncorrected energy	-3.319	eV per atom
symmetry	P-62m, No. 189

Respective calculated volume values: 20.86, 19.02, 21.26, 19.96, 19.36, 19.24, 26.68, 25.22, 25.57, 22.76, 18.41, 26.10 Å³/atom.
Respective calculated density values: 7.06, 7.75, 3.60, 7.38, 7.61, 7.66, 5.83, 8.08, 5.95, 8.84, 8.72, 5.84 g cm⁻³.